Entry 1:
This record from Alexandria describes TmZr3As4 after structural relaxation. The functional is PBE-GGA. Values from VASP.

```
&SYSTEM
  ibrav = 0, nat = 8, ntyp = 3
/
ATOMIC_SPECIES
As 74.92 As.upf
Tm 168.93 Tm.upf
Zr 91.22 Zr.upf
ATOMIC_POSITIONS angstrom
As 1.6513 -0.4503 -1.0374
As 1.3751 -1.3379 -4.7981
As 4.8213 -1.3146 -3.0288
As 3.4793 -3.8017 -0.3793
Tm -0.8091 -1.6874 -0.5556
Zr 2.6812 -1.6859 1.2157
Zr 2.4272 -2.5698 -2.5887
Zr 0.5552 0.8034 -3.2489
CELL_PARAMETERS angstrom
-1.6182 -3.3748 -1.1111
1.1103 1.6069 -6.4977
5.3623 -3.3717 2.4315
```



Entry 2:
This record from Alexandria describes Co2PRh after structural relaxation. The functional is PBE-GGA. Values from VASP.

```
&SYSTEM
  ibrav = 0, nat = 4, ntyp = 3
/
ATOMIC_SPECIES
Co 58.93 Co.upf
P 30.97 P.upf
Rh 102.91 Rh.upf
ATOMIC_POSITIONS angstrom
Co 0.0103 -0.0534 0.0424
Co 0.3595 -1.8616 1.4774
P 1.5673 -1.8817 -0.7410
Rh 1.9371 -3.7966 0.7788
CELL_PARAMETERS angstrom
-0.6429 -1.7278 -2.0206
3.4076 -0.1205 -0.9811
0.7397 -3.8300 3.0396
```



Number 1: ΔH_f (0 K) -1.1856 eV per atom. Number 2: ΔH_f (0 K) -0.0231 eV per atom.